# Sm2AlZnAu6

A geometry-optimized Sm2AlZnAu6 structure (PBE, Alexandria via LeMat-Bulk).

extended XYZ file:
```
10
Lattice="5.5311 0.0000 0.0000 2.3747 6.1636 0.0000 2.4253 0.3125 6.3044" Properties=species:S:1:pos:R:3 pbc="T T T"
Sm 1.2452 1.6343 1.6657
Sm 9.0858 4.8419 4.6386
Al 3.9529 3.0818 0.0000
Zn 3.9782 0.1563 3.1522
Au 2.3972 4.5657 1.6608
Au 6.3684 5.8638 5.6841
Au 5.1665 2.2482 4.2998
Au 5.1646 4.2280 2.0046
Au 3.9627 0.6123 0.6202
Au 7.9338 1.9104 4.6436
```

Calculated values
Density, Mg/m³: 12.2
Total moment, μB per cell: 0.0
ΔE_f, eV per atom: -0.50
DOS(E_F), states/eV/f.u.: 4.97